1.
VASP calculation (PBE-GGA) on crystalline SrSm2ZnO5 at its relaxed geometry.

The structure in POSCAR format:
```
SrSm2ZnO5
1.0
6.6624 0.0000 0.0000
0.0000 6.6624 0.0000
-3.3312 -3.3312 5.7354
Sm O Sr Zn
4 10 2 2
direct
0.1731 0.3269 0.0000
0.3269 0.8269 0.0000
0.6731 0.1731 0.0000
0.8269 0.6731 0.0000
0.0171 0.5171 0.7362
0.7809 0.9829 0.2638
0.9829 0.4829 0.2638
0.0000 0.0000 0.0000
0.2191 0.0171 0.7362
0.7191 0.2191 0.7362
0.5000 0.5000 0.0000
0.4829 0.2809 0.2638
0.2809 0.7809 0.2638
0.5171 0.7191 0.7362
0.2500 0.2500 0.5000
0.7500 0.7500 0.5000
0.2500 0.7500 0.5000
0.7500 0.2500 0.5000
```

## Properties
Formation energy (no corrections), meV per atom: -2789
Total magnetization, μB/f.u.: 0.000
Fermi-level density of states, states/eV per cell: 0.0



2.
VASP calculation (PBE-GGA) on crystalline Sm2TaO at its relaxed geometry.

The structure in POSCAR format:
```
Sm2TaO
1.0
3.2953 0.0000 0.0000
1.6476 2.8538 0.0000
1.6476 0.9513 9.0445
Sm Ta O
2 1 1
direct
0.8894 0.8894 0.3319
0.1106 0.1106 0.6681
0.0000 0.0000 0.0000
0.5000 0.5000 0.5000
```

## Properties
Formation energy (no corrections), meV per atom: -681
Total magnetization, μB/f.u.: 0.868
Fermi-level density of states, states/eV per cell: 2.4



3.
VASP calculation (PBE-GGA) on crystalline Sm3TaO7 at its relaxed geometry.

The structure in POSCAR format:
```
Sm3TaO7
1.0
6.6403 0.0402 0.0000
-2.1572 6.2802 0.0000
0.0000 0.0000 7.6159
O Sm Ta
14 6 2
direct
0.0807 0.3235 0.0224
0.0457 0.3010 0.4573
0.9379 0.0621 0.7500
0.6387 0.3613 0.7500
0.3235 0.0807 0.9776
0.9543 0.6990 0.9573
0.6765 0.9193 0.4776
0.6291 0.3709 0.2500
0.3709 0.6291 0.7500
0.6990 0.9543 0.0427
0.9193 0.6765 0.5224
0.3010 0.0457 0.5427
0.3613 0.6387 0.2500
0.0621 0.9379 0.2500
0.5358 0.9988 0.7596
0.0012 0.4642 0.7404
0.4642 0.0012 0.2596
0.5379 0.5379 0.5000
0.9988 0.5358 0.2404
0.4621 0.4621 0.0000
0.9982 0.9982 0.0000
0.0018 0.0018 0.5000
```

## Properties
Formation energy (no corrections), meV per atom: -3352
Total magnetization, μB/f.u.: 0.000
Fermi-level density of states, states/eV per cell: 0.0



4.
VASP calculation (PBE-GGA) on crystalline Sm6TaO12 at its relaxed geometry.

The structure in POSCAR format:
```
Sm6TaO12
1.0
6.5953 -0.3276 -0.7163
-0.7621 6.5593 -0.7163
-0.3066 -0.3276 6.6270
O Sm Ta
12 6 1
direct
0.0394 0.9306 0.7019
0.9606 0.0694 0.2981
0.4119 0.5597 0.8226
0.2981 0.9606 0.0694
0.7019 0.0394 0.9306
0.9306 0.7019 0.0394
0.0694 0.2981 0.9606
0.8226 0.4119 0.5597
0.1774 0.5881 0.4403
0.5881 0.4403 0.1774
0.4403 0.1774 0.5881
0.5597 0.8226 0.4119
0.1394 0.2990 0.6112
0.7010 0.3888 0.8606
0.3888 0.8606 0.7010
0.8606 0.7010 0.3888
0.2990 0.6112 0.1394
0.6112 0.1394 0.2990
0.0000 0.0000 0.0000
```

## Properties
Formation energy (no corrections), meV per atom: -3281
Total magnetization, μB/f.u.: 1.136
Fermi-level density of states, states/eV per cell: 6.7



5.
VASP calculation (PBE-GGA) on crystalline Sm2TaO5 at its relaxed geometry.

The structure in POSCAR format:
```
Sm2TaO5
1.0
-1.6836 -1.3782 3.0698
-6.1138 -1.5985 -4.0707
6.0043 -14.6274 -3.2738
O Sm Ta
20 8 4
direct
0.7500 0.0826 0.5380
0.2500 0.9013 0.6488
0.7500 0.0987 0.3512
0.2500 0.8107 0.8335
0.2500 0.3977 0.3300
0.2500 0.3107 0.6665
0.7500 0.6592 0.4958
0.2500 0.9174 0.4620
0.7500 0.1592 0.0042
0.2500 0.8977 0.1700
0.2500 0.4013 0.8512
0.7500 0.6893 0.3335
0.2500 0.8408 0.9958
0.7500 0.5987 0.1488
0.7500 0.6023 0.6700
0.7500 0.1023 0.8300
0.7500 0.1893 0.1665
0.2500 0.3408 0.5042
0.7500 0.5826 0.9620
0.2500 0.4174 0.0380
0.2500 0.6348 0.2421
0.2500 0.1348 0.2579
0.2500 0.1056 0.9134
0.2500 0.6056 0.5866
0.7500 0.8652 0.7421
0.7500 0.3944 0.4134
0.7500 0.8944 0.0866
0.7500 0.3652 0.7579
0.2500 0.6254 0.9192
0.2500 0.1254 0.5808
0.7500 0.3746 0.0808
0.7500 0.8746 0.4192
```

## Properties
Formation energy (no corrections), meV per atom: -3111
Total magnetization, μB/f.u.: 0.000
Fermi-level density of states, states/eV per cell: 8.7



6.
VASP calculation (PBE-GGA) on crystalline Sm2Ta2O9 at its relaxed geometry.

The structure in POSCAR format:
```
Sm2Ta2O9
1.0
-0.4079 -3.4183 1.7894
0.1380 -3.0989 -5.8884
14.3894 -3.9103 -4.1897
O Ta Sm
18 4 4
direct
0.5000 0.0000 0.5000
0.4999 0.3388 0.5817
0.5002 0.9379 0.2198
0.4999 0.5788 0.6783
0.5001 0.6612 0.4183
0.0000 0.0000 0.0000
0.0002 0.0621 0.2802
0.4999 0.3475 0.9486
0.9999 0.6525 0.5514
0.9999 0.4212 0.8217
0.9999 0.6612 0.9183
0.4998 0.0621 0.7802
0.9998 0.9379 0.7198
0.0001 0.3388 0.0817
0.5001 0.4212 0.3217
0.0001 0.5788 0.1783
0.0001 0.3475 0.4486
0.5001 0.6525 0.0514
0.9999 0.3081 0.9593
0.4999 0.6919 0.5407
0.0001 0.6919 0.0407
0.5001 0.3081 0.4593
0.5001 0.3132 0.1954
0.9999 0.3132 0.6954
0.4999 0.6868 0.8046
0.0001 0.6868 0.3046
```

## Properties
Formation energy (no corrections), meV per atom: -2784
Total magnetization, μB/f.u.: 2.024
Fermi-level density of states, states/eV per cell: 1.9



Sequential electronic total energy output: -6.92; -7.24; -8.87; -8.53; -8.87; -8.77 eV/atom